#A
This record from Alexandria describes a geometry-optimized Zr2TiGe2 structure. The functional is GGA-PBE.

Unit cell a=6.9937 b=6.9937 c=3.8116 alpha=90.00 beta=90.00 gamma=90.00
Fractional coordinates of all 10 atoms:
Zr1 0.6712 0.8288 0.5000
Ti1 0.0000 0.0000 0.0000
Ge1 0.1322 0.3678 0.0000
Zr2 0.8288 0.3288 0.5000
Ge2 0.8678 0.6322 0.0000
Ge3 0.6322 0.1322 0.0000
Zr3 0.3288 0.1712 0.5000
Ti2 0.5000 0.5000 0.0000
Ge4 0.3678 0.8678 0.0000
Zr4 0.1712 0.6712 0.5000

DOS at the Fermi energy	5.7	states/eV/f.u.
SG	P4/mbm

#B
This record from Alexandria describes a geometry-optimized Zr2TiGe2 structure. The functional is GGA-PBE.

Unit cell a=3.7516 b=7.1355 c=7.9562 alpha=90.00 beta=103.64 gamma=90.00
Fractional coordinates of all 10 atoms:
Ge1 0.5651 0.9579 0.1301
Zr1 0.0370 0.2523 0.0740
Ge2 0.4349 0.4579 0.8699
Zr2 0.9630 0.7523 0.9260
Ge3 0.8116 0.9675 0.6233
Zr3 0.1978 0.8629 0.3956
Zr4 0.8022 0.3629 0.6044
Ti1 0.4041 0.0937 0.8083
Ge4 0.1884 0.4675 0.3767
Ti2 0.5959 0.5937 0.1917

DOS at the Fermi energy	4.6	states/eV/f.u.
SG	Cmc2_1

Name the least stable of them. #B.

#A
This record from Alexandria describes a geometry-optimized ZrTiGe2 structure. The functional is GGA-PBE.

Unit cell a=3.8178 b=3.8178 c=6.4171 alpha=72.69 beta=72.69 gamma=60.00
Fractional coordinates of all 4 atoms:
Ge1 0.2439 0.2439 0.2683
Ti1 0.5000 0.5000 0.5000
Ge2 0.7561 0.7561 0.7317
Zr1 0.0000 0.0000 0.0000

DOS at the Fermi energy	0.7	states/eV/f.u.
SG	R-3m

#B
This record from Alexandria describes a geometry-optimized ZrTiGe2 structure. The functional is GGA-PBE.

Unit cell a=4.6601 b=4.6601 c=4.6601 alpha=60.00 beta=60.00 gamma=60.00
Fractional coordinates of all 4 atoms:
Ge1 0.2500 0.2500 0.2500
Zr1 0.5000 0.5000 0.5000
Ge2 0.7500 0.7500 0.7500
Ti1 0.0000 0.0000 0.0000

DOS at the Fermi energy	6.8	states/eV/f.u.
SG	Fm-3m

#C
This record from Alexandria describes a geometry-optimized ZrTiGe2 structure. The functional is GGA-PBE.

Unit cell a=7.1799 b=7.1799 c=5.8567 alpha=52.20 beta=52.20 gamma=90.00
Fractional coordinates of all 8 atoms:
Ti1 0.5000 0.5000 0.0000
Ge1 0.1397 0.6250 0.2500
Zr1 0.0000 0.0000 0.0000
Ge2 0.6103 0.1250 0.2500
Ge3 0.3750 0.3897 0.7500
Zr2 0.7500 0.2500 0.5000
Ge4 0.8750 0.8603 0.7500
Ti2 0.2500 0.7500 0.5000

DOS at the Fermi energy	0.5	states/eV/f.u.
SG	I-42d

Name the least stable of them. #B.

#A
This record from Alexandria describes a geometry-optimized TlGeW3 structure. The functional is GGA-PBE.

Unit cell a=4.6624 b=4.6624 c=4.6624 alpha=90.00 beta=90.00 gamma=90.00
Fractional coordinates of all 5 atoms:
Tl1 0.5000 0.5000 0.5000
W1 0.5000 0.0000 0.0000
W2 0.0000 0.5000 0.0000
Ge1 0.0000 0.0000 0.0000
W3 0.0000 0.0000 0.5000

DOS at the Fermi energy	5.9	states/eV/f.u.
SG	Pm-3m

#B
This record from Alexandria describes a geometry-optimized TlGeW3 structure. The functional is GGA-PBE.

Unit cell a=4.9791 b=4.9791 c=4.9791 alpha=90.00 beta=90.00 gamma=90.00
Fractional coordinates of all 5 atoms:
Tl1 0.0000 0.0000 0.0000
W1 0.0000 0.0000 0.5000
Ge1 0.5000 0.5000 0.5000
W2 0.0000 0.5000 0.0000
W3 0.5000 0.0000 0.0000

DOS at the Fermi energy	6.7	states/eV/f.u.
SG	Pm-3m

Name the least stable of them. #B.

#A
This record from Alexandria describes a geometry-optimized TlGeW2 structure. The functional is GGA-PBE.

Unit cell a=4.6045 b=4.6045 c=4.6045 alpha=60.00 beta=60.00 gamma=60.00
Fractional coordinates of all 4 atoms:
Tl1 0.5000 0.5000 0.5000
Ge1 0.0000 0.0000 0.0000
W1 0.2500 0.2500 0.2500
W2 0.7500 0.7500 0.7500

DOS at the Fermi energy	2.6	states/eV/f.u.
SG	Fm-3m

#B
This record from Alexandria describes a geometry-optimized TlGeW2 structure. The functional is GGA-PBE.

Unit cell a=4.0048 b=4.0048 c=10.2095 alpha=78.69 beta=78.69 gamma=90.00
Fractional coordinates of all 8 atoms:
Tl1 0.7500 0.2500 0.5000
W1 0.5719 0.1250 0.2500
Tl2 0.0000 0.0000 0.0000
W2 0.3750 0.4281 0.7500
Ge1 0.5000 0.5000 0.0000
W3 0.1781 0.6250 0.2500
W4 0.8750 0.8219 0.7500
Ge2 0.2500 0.7500 0.5000

DOS at the Fermi energy	1.8	states/eV/f.u.
SG	I-42d

Name the least stable of them. #B.

#A
This record from Alexandria describes a geometry-optimized YTlGe3 structure. The functional is GGA-PBE.

Unit cell a=5.2632 b=5.2632 c=5.2632 alpha=90.00 beta=90.00 gamma=90.00
Fractional coordinates of all 5 atoms:
Ge1 0.0000 0.5000 0.0000
Ge2 0.5000 0.0000 0.0000
Y1 0.5000 0.5000 0.5000
Ge3 0.0000 0.0000 0.5000
Tl1 0.0000 0.0000 0.0000

DOS at the Fermi energy	4.7	states/eV/f.u.
SG	Pm-3m

#B
This record from Alexandria describes a geometry-optimized YTlGe3 structure. The functional is GGA-PBE.

Unit cell a=5.4634 b=5.4634 c=5.4634 alpha=90.00 beta=90.00 gamma=90.00
Fractional coordinates of all 5 atoms:
Ge1 0.5000 0.0000 0.0000
Ge2 0.0000 0.0000 0.5000
Y1 0.0000 0.0000 0.0000
Ge3 0.0000 0.5000 0.0000
Tl1 0.5000 0.5000 0.5000

DOS at the Fermi energy	2.6	states/eV/f.u.
SG	Pm-3m

Name the least stable of them. #A.

#A
This record from Alexandria describes a geometry-optimized Y2Tl2Ge structure. The functional is GGA-PBE.

Unit cell a=7.6545 b=7.6545 c=4.8628 alpha=90.00 beta=90.00 gamma=90.00
Fractional coordinates of all 10 atoms:
Tl1 0.6472 0.8528 0.5000
Tl2 0.3528 0.1472 0.5000
Ge1 0.5000 0.5000 0.0000
Y1 0.6645 0.1645 0.0000
Y2 0.1645 0.3355 0.0000
Y3 0.3355 0.8355 0.0000
Tl3 0.8528 0.3528 0.5000
Y4 0.8355 0.6645 0.0000
Tl4 0.1472 0.6472 0.5000
Ge2 0.0000 0.0000 0.0000

DOS at the Fermi energy	4.6	states/eV/f.u.
SG	P4/mbm

#B
This record from Alexandria describes a geometry-optimized Y2Tl2Ge structure. The functional is GGA-PBE.

Unit cell a=7.6381 b=7.6381 c=4.6072 alpha=90.00 beta=90.00 gamma=90.00
Fractional coordinates of all 10 atoms:
Y1 0.8323 0.3323 0.5000
Y2 0.1677 0.6677 0.5000
Tl1 0.6388 0.1388 0.0000
Tl2 0.8612 0.6388 0.0000
Y3 0.3323 0.1677 0.5000
Ge1 0.0000 0.0000 0.0000
Tl3 0.1388 0.3612 0.0000
Ge2 0.5000 0.5000 0.0000
Y4 0.6677 0.8323 0.5000
Tl4 0.3612 0.8612 0.0000

DOS at the Fermi energy	2.3	states/eV/f.u.
SG	P4/mbm

Name the least stable of them. #B.